Density functional theory data (GGA-PBE) for a geometry-optimized Ta2FeBiC structure.

Output
Its formation energy is 1984 meV/atom. The total energy comes out at -7.070 eV per atom.

Unit cell a=4.597 b=4.597 c=4.722 alpha=90.00 beta=90.00 gamma=90.00
Space group P4/mmm (No. 123)
Inequivalent atoms, fractional coordinates:
Ta (0.000, 0.500, 0.000) (multiplicity 2)
Fe (0.000, 0.000, 0.000) (multiplicity 1)
Bi (0.000, 0.000, 0.500) (multiplicity 1)
C (0.500, 0.500, 0.500) (multiplicity 1)